VASP calculation (PBE) on a geometry-optimized Cs2BiWBr6 structure.

Summary:
Energy relative to the elements, uncorrected = -0.74 eV/atom
Size of the total moment = 5.00 μB/f.u.

Lattice parameters (Å, degrees): 8.140 8.140 8.140 119.26 119.26 91.30
Sites, in units of the cell vectors:
Cs (0.250, 0.750, 0.500)
Cs (0.750, 0.250, 0.500)
Bi (0.000, 0.000, 0.000)
W (0.500, 0.500, 0.000)
Br (0.267, 0.267, 0.000)
Br (0.274, 0.274, 0.547)
Br (0.274, 0.726, 0.000)
Br (0.726, 0.274, 0.000)
Br (0.726, 0.726, 0.453)
Br (0.733, 0.733, 0.000)


VASP calculation (PBE) on a geometry-optimized Na3Cl structure.

Summary:
Energy relative to the elements, uncorrected = -0.74 eV/atom
Size of the total moment = 0.00 μB/f.u.
Distance to the lowest polymorph of the same formula = 32 meV/atom

Lattice parameters (Å, degrees): 3.616 11.186 6.594 90.00 90.00 90.00
Sites, in units of the cell vectors:
Na (0.000, 0.000, 0.000)
Na (0.000, 0.173, 0.490)
Na (0.000, 0.827, 0.490)
Na (0.500, 0.327, 0.990)
Na (0.500, 0.500, 0.500)
Na (0.500, 0.673, 0.990)
Cl (0.000, 0.500, 0.832)
Cl (0.500, 0.000, 0.332)


VASP calculation (PBE) on a geometry-optimized ZrFeSe2 structure.

Summary:
Energy relative to the elements, uncorrected = -0.45 eV/atom
Size of the total moment = 2.25 μB/f.u.
Distance to the lowest polymorph of the same formula = 229 meV/atom

Lattice parameters (Å, degrees): 4.119 4.991 6.907 90.00 90.00 90.00
Sites, in units of the cell vectors:
Zr (0.000, 0.000, 0.000)
Zr (0.500, 0.500, 0.500)
Fe (0.000, 0.000, 0.500)
Fe (0.500, 0.500, 0.000)
Se (0.000, 0.500, 0.217)
Se (0.000, 0.500, 0.783)
Se (0.500, 0.000, 0.283)
Se (0.500, 0.000, 0.717)


VASP calculation (PBE) on a geometry-optimized LiCe2CuSe5 structure.

Summary:
Energy relative to the elements, uncorrected = -1.30 eV/atom
Size of the total moment = 0.42 μB/f.u.

Lattice parameters (Å, degrees): 8.776 8.776 11.497 90.00 90.00 153.31
Sites, in units of the cell vectors:
Li (0.199, 0.801, 0.500)
Li (0.801, 0.199, 0.000)
Ce (0.117, 0.883, 0.182)
Ce (0.125, 0.875, 0.798)
Ce (0.875, 0.125, 0.298)
Ce (0.883, 0.117, 0.682)
Cu (0.425, 0.575, 0.956)
Cu (0.575, 0.425, 0.456)
Se (0.038, 0.962, 0.556)
Se (0.298, 0.702, 0.158)
Se (0.306, 0.694, 0.835)
Se (0.353, 0.647, 0.494)
Se (0.498, 0.502, 0.775)
Se (0.502, 0.498, 0.275)
Se (0.647, 0.353, 0.994)
Se (0.694, 0.306, 0.335)
Se (0.702, 0.298, 0.658)
Se (0.962, 0.038, 0.056)